1.
LaNd3Dy5 | GGA-PBE | optimized geometry

a b c (Å): 10.214 10.214 11.395
angles (deg): 112.16 112.16 34.63
Sites, in units of the cell vectors:
La (0.123, 0.877, 0.750)
La (0.877, 0.123, 0.250)
Nd (0.000, 0.000, 0.000)
Nd (0.000, 0.000, 0.500)
Nd (0.046, 0.595, 0.639)
Nd (0.405, 0.954, 0.861)
Nd (0.595, 0.046, 0.139)
Nd (0.954, 0.405, 0.361)
Dy (0.088, 0.570, 0.970)
Dy (0.099, 0.578, 0.305)
Dy (0.391, 0.609, 0.250)
Dy (0.422, 0.901, 0.195)
Dy (0.430, 0.912, 0.530)
Dy (0.570, 0.088, 0.470)
Dy (0.578, 0.099, 0.805)
Dy (0.609, 0.391, 0.750)
Dy (0.901, 0.422, 0.695)
Dy (0.912, 0.430, 0.030)

Summary:
Energy relative to the lowest polymorph listed for this composition, eV per atom: 0.0000
E_form, eV/atom: 0.3047
Crystal system: monoclinic

***

2.
PrNd2DyHo | GGA-PBE | optimized geometry

a b c (Å): 8.319 6.739 6.238
angles (deg): 90.00 90.73 90.00
Sites, in units of the cell vectors:
Pr (0.000, 0.000, 0.000)
Pr (0.000, 0.000, 0.500)
Nd (0.307, 0.309, 0.246)
Nd (0.307, 0.691, 0.746)
Nd (0.693, 0.309, 0.254)
Nd (0.693, 0.691, 0.754)
Dy (0.000, 0.425, 0.750)
Dy (0.000, 0.575, 0.250)
Ho (0.500, 0.157, 0.750)
Ho (0.500, 0.843, 0.250)

Summary:
E_form, eV/atom: 0.2731
Crystal system: monoclinic

***

3.
Tl2ZnSi | GGA-PBE | optimized geometry

a b c (Å): 3.207 4.166 7.756
angles (deg): 90.00 99.50 90.00
Sites, in units of the cell vectors:
Tl (0.000, 0.000, 0.000)
Tl (0.295, 0.500, 0.642)
Zn (0.591, 0.500, 0.233)
Si (0.681, 0.000, 0.395)

Summary:
Energy relative to the lowest polymorph listed for this composition, eV per atom: 0.1249
Crystal system: monoclinic
Formation energy (no corrections), kJ/mol of formula units: 110

***

Volume
In order: 621; 350; 102
Unit: Å³/cell